(1)
The following is a PBE-GGA calculation of an optimized crystal structure of Pu2Pa8Os, from the Alexandria database.

Summary:
Energy of formation from the pure elements   4.16 kcal/mol of atoms
Space-group type   C2/m, No. 12
Total magnetic moment   0.0000 μB per atom
Final energy   -113.9 eV per cell

Geometry as extended XYZ:
```
11
Lattice="6.235 -3.957 0.000 6.235 3.957 0.000 -0.334 0.000 5.583" Properties=species:S:1:pos:R:3 pbc="T T T"
Pu 2.719 0.000 1.651
Pu 9.417 0.000 3.932
Pa 4.335 1.743 3.638
Pa 1.552 0.000 4.894
Pa 5.087 0.000 0.998
Pa 7.801 1.743 1.944
Pa 4.335 -1.743 3.638
Pa 7.049 0.000 4.585
Pa 10.583 0.000 0.688
Pa 7.801 -1.743 1.944
Os -0.167 0.000 2.791
```

***

(2)
The following is a PBE-GGA calculation of an optimized crystal structure of PuPaOs2, from the Alexandria database.

Summary:
Energy of formation from the pure elements   -2.29 kcal/mol of atoms
Space-group type   Fm-3m, No. 225
Total magnetic moment   1.1872 μB per atom
Final energy   -186.7 eV per cell

Geometry as extended XYZ:
```
16
Lattice="6.841 0.000 0.000 0.000 6.841 0.000 0.000 0.000 6.841" Properties=species:S:1:pos:R:3 pbc="T T T"
Pu 0.000 0.000 0.000
Pu 0.000 3.421 3.421
Pu 3.421 0.000 3.421
Pu 3.421 3.421 0.000
Pa 0.000 0.000 3.421
Pa 0.000 3.421 0.000
Pa 3.421 0.000 0.000
Pa 3.421 3.421 3.421
Os 1.710 1.710 1.710
Os 1.710 1.710 5.131
Os 1.710 5.131 1.710
Os 1.710 5.131 5.131
Os 5.131 1.710 1.710
Os 5.131 1.710 5.131
Os 5.131 5.131 1.710
Os 5.131 5.131 5.131
```

***

(3)
The following is a PBE-GGA calculation of an optimized crystal structure of Pu2Pa5Os4, from the Alexandria database.

Summary:
Energy of formation from the pure elements   2.80 kcal/mol of atoms
Space-group type   C2/m, No. 12
Total magnetic moment   0.9219 μB per atom
Final energy   -119.7 eV per cell

Geometry as extended XYZ:
```
11
Lattice="10.717 -1.804 0.000 10.717 1.804 0.000 -0.908 0.000 6.503" Properties=species:S:1:pos:R:3 pbc="T T T"
Pu 1.968 0.000 1.286
Pu 18.559 0.000 5.217
Pa 2.740 0.000 3.888
Pa 4.629 0.000 1.047
Pa 10.263 0.000 3.252
Pa 15.898 0.000 5.457
Pa 17.786 0.000 2.615
Os -0.074 0.000 5.248
Os 7.759 0.000 0.780
Os 12.767 0.000 5.723
Os 20.601 0.000 1.256
```

***

(4)
The following is a PBE-GGA calculation of an optimized crystal structure of PuPaOs2, from the Alexandria database.

Summary:
Energy of formation from the pure elements   -3.36 kcal/mol of atoms
Space-group type   P2_1/c, No. 14
Total magnetic moment   1.0868 μB per atom
Final energy   -187.5 eV per cell

Geometry as extended XYZ:
```
16
Lattice="8.260 0.000 0.000 0.000 5.480 0.000 -0.007 0.000 7.364" Properties=species:S:1:pos:R:3 pbc="T T T"
Pu 0.993 0.885 2.456
Pu 0.989 1.855 6.138
Pu 7.263 3.625 1.226
Pu 7.260 4.596 4.909
Pa 3.085 3.651 1.246
Pa 3.081 4.569 4.928
Pa 5.171 0.911 2.436
Pa 5.168 1.829 6.118
Os 1.041 3.636 3.215
Os 1.037 4.584 6.897
Os 3.112 0.922 0.516
Os 3.108 1.818 4.198
Os 5.145 3.662 3.166
Os 5.141 4.558 6.848
Os 7.215 0.896 0.467
Os 7.212 1.844 4.149
```

***

(5)
The following is a PBE-GGA calculation of an optimized crystal structure of PuPaOs2, from the Alexandria database.

Summary:
Energy of formation from the pure elements   -2.23 kcal/mol of atoms
Space-group type   P4/mmm, No. 123
Total magnetic moment   1.2198 μB per atom
Final energy   -46.7 eV per cell

Geometry as extended XYZ:
```
4
Lattice="4.626 0.000 0.000 0.000 4.626 0.000 0.000 0.000 3.705" Properties=species:S:1:pos:R:3 pbc="T T T"
Pu 0.000 0.000 0.000
Pa 2.313 2.313 0.000
Os 0.000 2.313 1.852
Os 2.313 0.000 1.852
```

***

(6)
The following is a PBE-GGA calculation of an optimized crystal structure of PuPa3Os2, from the Alexandria database.

Summary:
Energy of formation from the pure elements   -2.51 kcal/mol of atoms
Space-group type   C2/m, No. 12
Total magnetic moment   1.0090 μB per atom
Final energy   -131.9 eV per cell

Geometry as extended XYZ:
```
12
Lattice="7.000 -2.723 0.000 7.000 2.723 0.000 -2.562 0.000 7.110" Properties=species:S:1:pos:R:3 pbc="T T T"
Pu 1.571 0.000 1.212
Pu 9.867 0.000 5.898
Pa -1.405 0.000 5.312
Pa 1.873 0.000 6.725
Pa 3.898 0.000 3.241
Pa 7.541 0.000 3.869
Pa 9.565 0.000 0.385
Pa 12.843 0.000 1.798
Os 0.981 0.000 4.077
Os 6.471 0.000 1.355
Os 4.968 0.000 5.755
Os 10.457 0.000 3.033
```